[1]
# Na5Y3F12 PBE optimized geometry
# formation energy (no corrections) = -3.094 eV per atom
# density of states at the Fermi level = 7.12 states/eV/f.u.
# crystal system = cubic
# V = 14.9 Å³ per atom
# E_tot = -0.2027 hartree per atom
data_Na5Y3F12
_cell_length_a 13.3634
_cell_length_b 13.3634
_cell_length_c 13.3634
_cell_angle_alpha 90.00
_cell_angle_beta 90.00
_cell_angle_gamma 90.00
_space_group_name_H-M_alt 'I a -3 d'
_space_group_IT_number 230
_space_group_name_Hall '-I 4bd 2c 3'
loop_
_atom_site_label
_atom_site_type_symbol
_atom_site_fract_x
_atom_site_fract_y
_atom_site_fract_z
_atom_site_occupancy
Na1 Na 0.0000 0.0000 0.0000 1
Na2 Na 0.0000 0.2500 0.3750 1
Y1 Y 0.0000 0.2500 0.1250 1
F1 F 0.0138 0.0726 0.6555 1



[2]
# CsWN3 PBE optimized geometry
# formation energy (no corrections) = 0.460 eV per atom
# density of states at the Fermi level = 2.34 states/eV/f.u.
# crystal system = cubic
# V = 14.4 Å³ per atom
# E_tot = -0.2682 hartree per atom
data_CsWN3
_cell_length_a 4.1646
_cell_length_b 4.1646
_cell_length_c 4.1646
_cell_angle_alpha 90.00
_cell_angle_beta 90.00
_cell_angle_gamma 90.00
_space_group_name_H-M_alt 'P m -3 m'
_space_group_IT_number 221
_space_group_name_Hall '-P 4 2 3'
loop_
_atom_site_label
_atom_site_type_symbol
_atom_site_fract_x
_atom_site_fract_y
_atom_site_fract_z
_atom_site_occupancy
Cs1 Cs 0.0000 0.0000 0.0000 1
W1 W 0.5000 0.5000 0.5000 1
N1 N 0.0000 0.5000 0.5000 1



Please write out number 2 again, unchanged.
# CsWN3 PBE optimized geometry
# formation energy (no corrections) = 0.460 eV per atom
# density of states at the Fermi level = 2.34 states/eV/f.u.
# crystal system = cubic
# V = 14.4 Å³ per atom
# E_tot = -0.2682 hartree per atom
data_CsWN3
_cell_length_a 4.1646
_cell_length_b 4.1646
_cell_length_c 4.1646
_cell_angle_alpha 90.00
_cell_angle_beta 90.00
_cell_angle_gamma 90.00
_space_group_name_H-M_alt 'P m -3 m'
_space_group_IT_number 221
_space_group_name_Hall '-P 4 2 3'
loop_
_atom_site_label
_atom_site_type_symbol
_atom_site_fract_x
_atom_site_fract_y
_atom_site_fract_z
_atom_site_occupancy
Cs1 Cs 0.0000 0.0000 0.0000 1
W1 W 0.5000 0.5000 0.5000 1
N1 N 0.0000 0.5000 0.5000 1